Arrangement a

DFT (GGA+U) results for Ba2LiMn2O6 after structural relaxation.

Properties
Total magnetization: 7.00 Bohr magnetons per cell

Unit cell a=6.243 b=6.243 c=5.259 alpha=105.52 beta=105.52 gamma=53.77
Fractional positions:
Ba 0.193 0.193 0.192
Ba 0.807 0.807 0.808
Li 0.000 0.000 0.500
Mn 0.500 0.500 0.000
Mn 0.500 0.500 0.500
O 0.187 0.660 0.233
O 0.340 0.813 0.767
O 0.364 0.364 0.675
O 0.636 0.636 0.325
O 0.660 0.187 0.233
O 0.813 0.340 0.767



Arrangement b

DFT (GGA+U) results for Ba2LiMn2O6 after structural relaxation.

Properties
Total magnetization: 7.00 Bohr magnetons per cell

Unit cell a=6.165 b=6.165 c=5.258 alpha=104.33 beta=104.33 gamma=56.75
Fractional positions:
Ba 0.000 0.000 0.000
Ba 0.713 0.713 0.378
Li 0.547 0.547 0.761
Mn 0.319 0.319 0.763
Mn 0.342 0.342 0.271
O 0.036 0.488 0.981
O 0.177 0.177 0.461
O 0.192 0.620 0.570
O 0.485 0.485 0.056
O 0.488 0.036 0.981
O 0.620 0.192 0.570



Each structure's energy above the most stable one, in kJ/mol of atoms: arrangement a 0.0; arrangement b 4.9.